TiNb2AlPd (PBE-GGA, optimized geometry); space-group type = P4/mmm (123); ΔH_f (0 K) = 1.02 eV/atom; size of the total moment = 0.0000 μB/atom; mass density = 6.0 Mg/m³
1.0
4.6975 0.0000 0.0000
0.0000 4.5832 0.0000
0.0000 0.0000 4.6975
Pd Al Nb Ti
1 1 2 1
Cartesian
2.3488 2.2916 2.3488
0.0000 0.0000 0.0000
2.3488 0.0000 0.0000
0.0000 0.0000 2.3488
0.0000 2.2916 0.0000